1.
Below is a relaxed MnBe2NbSb crystal, with properties calculated at the PBE level.

Cell: 4.5638 4.6066 4.5638 Å, 90.00 90.00 90.00°
Fractional coordinates of all 5 atoms:
Nb: 0.0000 0.0000 0.0000
Be: 0.5000 0.0000 0.0000
Be: 0.0000 0.0000 0.5000
Sb: 0.5000 0.5000 0.5000
Mn: 0.0000 0.5000 0.0000

Results
**SG**: P4/mmm, No. 123
**E**: -4.893 eV/atom


2.
Below is a relaxed Mn5Be2Nb2Si crystal, with properties calculated at the PBE level.

Cell: 3.2003 8.6833 8.6833 Å, 90.00 90.00 90.00°
Fractional coordinates of all 20 atoms:
Si: 0.0000 0.0000 0.0000
Si: 0.0000 0.5000 0.5000
Nb: 0.0000 0.1744 0.3256
Nb: 0.0000 0.3256 0.8256
Nb: 0.0000 0.6744 0.1744
Nb: 0.0000 0.8256 0.6744
Be: 0.0000 0.6210 0.8790
Be: 0.0000 0.1210 0.6210
Be: 0.0000 0.8790 0.3790
Be: 0.0000 0.3790 0.1210
Mn: 0.5000 0.4342 0.2907
Mn: 0.5000 0.7093 0.4342
Mn: 0.5000 0.2907 0.5658
Mn: 0.5000 0.5658 0.7093
Mn: 0.5000 0.2093 0.0658
Mn: 0.5000 0.5000 0.0000
Mn: 0.5000 0.0658 0.7907
Mn: 0.5000 0.9342 0.2093
Mn: 0.5000 0.7907 0.9342
Mn: 0.5000 0.0000 0.5000

Results
**SG**: P4/mbm, No. 127
**E**: -8.062 eV/atom


3.
Below is a relaxed MnBeNb2Sn crystal, with properties calculated at the PBE level.

Cell: 4.6242 4.1667 4.6242 Å, 90.00 90.00 90.00°
Fractional coordinates of all 5 atoms:
Nb: 0.5000 0.0000 0.0000
Nb: 0.0000 0.0000 0.5000
Sn: 0.5000 0.5000 0.5000
Be: 0.0000 0.5000 0.0000
Mn: 0.0000 0.0000 0.0000

Results
**SG**: P4/mmm, No. 123
**E**: -6.809 eV/atom


4.
Below is a relaxed Mn5Be2Nb2V crystal, with properties calculated at the PBE level.

Cell: 3.1002 8.8182 8.8182 Å, 90.00 90.00 90.00°
Fractional coordinates of all 20 atoms:
Be: 0.0000 0.6247 0.8753
Be: 0.0000 0.1247 0.6247
Be: 0.0000 0.3753 0.1247
Be: 0.0000 0.8753 0.3753
Nb: 0.0000 0.1716 0.3284
Nb: 0.0000 0.8284 0.6716
Nb: 0.0000 0.6716 0.1716
Nb: 0.0000 0.3284 0.8284
V: 0.0000 0.0000 0.0000
V: 0.0000 0.5000 0.5000
Mn: 0.5000 0.2061 0.0670
Mn: 0.5000 0.0670 0.7939
Mn: 0.5000 0.7061 0.4330
Mn: 0.5000 0.4330 0.2939
Mn: 0.5000 0.7939 0.9330
Mn: 0.5000 0.5670 0.7061
Mn: 0.5000 0.5000 0.0000
Mn: 0.5000 0.0000 0.5000
Mn: 0.5000 0.2939 0.5670
Mn: 0.5000 0.9330 0.2061

Results
**SG**: P4/mbm, No. 127
**E**: -8.378 eV/atom


5.
Below is a relaxed Nd2MnBePd6 crystal, with properties calculated at the PBE level.

Cell: 6.4804 6.4834 6.4828 Å, 59.98 60.00 90.04°
Fractional coordinates of all 10 atoms:
Pd: 0.7327 0.7327 0.5344
Pd: 0.7328 0.2670 0.0000
Pd: 0.2672 0.7330 0.0000
Pd: 0.7330 0.7328 0.0000
Pd: 0.2673 0.2673 0.4656
Pd: 0.2670 0.2672 0.0000
Nd: 0.2500 0.7499 0.5001
Nd: 0.7500 0.2501 0.4999
Mn: 0.0000 0.0000 0.0000
Be: 0.5000 0.5000 0.0000

Results
**SG**: Immm, No. 71
**E**: -5.757 eV/atom


6.
Below is a relaxed Nd2MnBePt6 crystal, with properties calculated at the PBE level.

Cell: 5.7877 7.3225 7.3223 Å, 46.56 66.72 90.00°
Fractional coordinates of all 10 atoms:
Pt: 0.7817 0.7399 0.9581
Pt: 0.2183 0.2601 0.0419
Pt: 0.7398 0.7817 0.5202
Pt: 0.7399 0.2601 0.0418
Pt: 0.2601 0.7399 0.9582
Pt: 0.2602 0.2183 0.4798
Be: 0.5000 0.5000 0.0000
Nd: 0.7137 0.2864 0.5726
Nd: 0.2863 0.7136 0.4274
Mn: 0.0000 0.0000 0.0000

Results
**SG**: R-3m, No. 166
**E**: -6.591 eV/atom